Computed, not measured: a geometry-optimized PmSm7Dy2 structure at the GGA-PBE level of DFT.

Its formation energy is 659 meV/atom. As for the relative energy among the computed polymorphs: 0 meV per atom.

It has space group Cmmm (No. 65), with a = 8.858 Å, b = 16.207 Å, c = 5.684 Å, α = 90.00°, β = 90.00° and γ = 90.00°. The inequivalent atoms are Pm at (0.000, 0.000, 0.000), Sm at (0.000, 0.223, 0.000), Sm at (0.000, 0.500, 0.500), Sm at (0.178, 0.115, 0.500) and Dy at (0.000, 0.296, 0.500).

***

Computed, not measured: a geometry-optimized Pm3SmDy structure at the GGA-PBE level of DFT.

Its formation energy is 15 meV/atom.

It has space group C2/m (No. 12), with a = 11.460 Å, b = 5.123 Å, c = 11.472 Å, α = 90.00°, β = 90.15° and γ = 90.00°. The inequivalent atoms are Pm at (0.050, 0.000, 0.151), Pm at (0.052, 0.500, 0.648), Pm at (0.249, 0.500, 0.252), Sm at (0.150, 0.500, 0.950) and Dy at (0.150, 0.000, 0.451).

***

Computed, not measured: a geometry-optimized Pm6Sm2Dy3 structure at the GGA-PBE level of DFT.

Its formation energy is 281 meV/atom. As for the relative energy among the computed polymorphs: 266 meV per atom.

It has space group I4/mmm (No. 139), with a = 4.792 Å, b = 4.792 Å, c = 33.801 Å, α = 90.00°, β = 90.00° and γ = 90.00°. The inequivalent atoms are Pm at (0.000, 0.000, 0.200), Pm at (0.000, 0.500, 0.121), Sm at (0.000, 0.000, 0.045), Dy at (0.000, 0.000, 0.301) and Dy at (0.000, 0.000, 0.500).

***

Computed, not measured: a geometry-optimized Pm3Sm2Dy structure at the GGA-PBE level of DFT.

Its formation energy is -7 meV/atom. As for the relative energy among the computed polymorphs: 0 meV per atom.

It has space group Cmc2_1 (No. 36), with a = 10.922 Å, b = 6.299 Å, c = 11.730 Å, α = 90.00°, β = 90.00° and γ = 90.00°. The inequivalent atoms are Pm at (0.000, 0.001, 0.000), Pm at (0.166, 0.499, 0.500), Sm at (0.167, 0.166, 0.250) and Dy at (0.000, 0.333, 0.750).